(a)
A geometry-optimized Er2ScBi structure, computed with GGA-PBE.

## Properties
D(E_F) in states/eV/cell: 8.28
Spin magnetization in Bohr magnetons per cell: 0.00

Unit cell a=4.5623 b=4.5060 c=11.1666 alpha=90.00 beta=101.79 gamma=90.00
With the nearest neighbours (Å) after each atom.
Space group P2_1/m (No. 11)
Inequivalent atoms, fractional coordinates:
Er1 0.0612 0.2500 0.1224  8 Er 3.21-3.55, 2 Bi 3.34
Er2 0.4367 0.2500 0.8736  8 Er 3.21-3.57, 2 Bi 3.33, 2 Sc 3.55
Sc1 0.3109 0.7500 0.6224  5 Bi 3.00-3.22
Bi1 0.1745 0.7500 0.3481  5 Sc 3.00-3.22, 4 Er 3.33-3.34

---

(b)
A geometry-optimized Er2ScBi structure, computed with GGA-PBE.

## Properties
D(E_F) in states/eV/cell: 14.06
Spin magnetization in Bohr magnetons per cell: 0.00

Unit cell a=3.5643 b=3.5643 c=31.4225 alpha=90.00 beta=90.00 gamma=120.00
With the nearest neighbours (Å) after each atom.
Space group R3m (No. 160, hexagonal axes)
Inequivalent atoms, fractional coordinates:
Er1 0.0000 0.0000 0.0000  3 Sc 3.30, 3 Bi 3.35, 6 Er 3.56
Er2 0.0000 0.0000 0.1654  3 Sc 3.32, 3 Bi 3.34, 6 Er 3.56
Sc1 0.0000 0.0000 0.4156  6 Er 3.30-3.32, 6 Sc 3.56
Bi1 0.0000 0.0000 0.5825  6 Er 3.34-3.35, 6 Bi 3.56

---

Stability ranking, top and bottom: (a) is the most stable and (b) is the least stable.

---

(a)
A geometry-optimized CrC2 structure, computed with GGA-PBE.

## Properties
D(E_F) in states/eV/cell: 5.41
Spin magnetization in Bohr magnetons per cell: 0.01

Unit cell a=2.5803 b=2.5803 c=11.2102 alpha=90.00 beta=90.00 gamma=120.00
With the nearest neighbours (Å) after each atom.
Space group R-3m (No. 166, hexagonal axes)
Inequivalent atoms, fractional coordinates:
Cr1 0.0000 0.0000 0.0000  8 C 2.11-2.20
C1 0.0000 0.0000 0.1884  3 C 1.57

---

(b)
A geometry-optimized CrC2 structure, computed with GGA-PBE.

## Properties
D(E_F) in states/eV/cell: 4.81
Spin magnetization in Bohr magnetons per cell: 10.48

Unit cell a=2.5570 b=8.5855 c=4.6263 alpha=90.00 beta=90.00 gamma=90.00
With the nearest neighbours (Å) after each atom.
Space group Cmcm (No. 63)
Inequivalent atoms, fractional coordinates:
Cr1 0.0000 0.1435 0.2500  6 C 2.20-2.31
C1 0.0000 0.1467 0.7500  2 C 1.46
C2 0.0000 0.4354 0.2500  2 C 1.46

---

Stability ranking, top and bottom: (a) is the most stable and (b) is the least stable.

---

(a)
A geometry-optimized WBr3 structure, computed with GGA-PBE.

## Properties
D(E_F) in states/eV/cell: 8.81
Spin magnetization in Bohr magnetons per cell: 9.87

Unit cell a=9.4537 b=9.4537 c=3.7734 alpha=90.00 beta=90.00 gamma=120.00
With the nearest neighbours (Å) after each atom.
Space group R-3m (No. 166, hexagonal axes)
Inequivalent atoms, fractional coordinates:
W1 0.0000 0.0000 0.0000  6 Br 3.00
Br1 0.0000 0.5000 0.0000  2 W 3.00, 4 Br 3.00

---

(b)
A geometry-optimized WBr3 structure, computed with GGA-PBE.

## Properties
D(E_F) in states/eV/cell: 3.52
Spin magnetization in Bohr magnetons per cell: 1.98

Unit cell a=7.0339 b=3.1218 c=9.1624 alpha=90.00 beta=98.51 gamma=90.00
With the nearest neighbours (Å) after each atom.
Space group C2/m (No. 12)
Inequivalent atoms, fractional coordinates:
W1 0.0000 0.0000 0.0000  6 Br 2.62-2.63
Br1 0.0000 0.5000 0.5000  2 Br 3.12
Br2 0.2331 0.5000 0.1737  3 W 2.62-2.63

---

Stability ranking, top and bottom: (b) is the most stable and (a) is the least stable.